Run P
A plane-wave DFT calculation with meta-GGA SCAN was carried out for a PBEsol-optimized structure of KZr2Mn.

```
KZr2Mn
1.0
3.2187 0.0000 0.0000
0.0000 3.2187 0.0000
0.0000 0.0000 9.7413
K Zr Mn
1 2 1
direct
0.0000 0.0000 0.0000
0.0000 0.0000 0.4419
0.5000 0.5000 0.6521
0.5000 0.5000 0.2825
```

DOS(E_F)	2.79	states/eV/cell

---

Run Q
A plane-wave DFT calculation with meta-GGA SCAN was carried out for a PBEsol-optimized structure of KZr2Mn.

```
KZr2Mn
1.0
0.0000 3.5721 3.5721
3.5721 0.0000 3.5721
3.5721 3.5721 0.0000
K Zr Mn
1 2 1
direct
0.0000 0.0000 0.0000
0.2500 0.2500 0.2500
0.5000 0.5000 0.5000
0.7500 0.7500 0.7500
```

DOS(E_F)	3.66	states/eV/cell

---

The most stable of them is run P.

---

Run P
A plane-wave DFT calculation with meta-GGA SCAN was carried out for a PBEsol-optimized structure of KMo.

```
KMo
1.0
3.2866 0.0000 0.0000
0.0000 3.2866 0.0000
0.0000 0.0000 10.8433
K Mo
2 2
direct
0.2500 0.2500 0.1978
0.7500 0.7500 0.8022
0.2500 0.2500 0.5480
0.7500 0.7500 0.4520
```

DOS(E_F)	3.93	states/eV/cell

---

Run Q
A plane-wave DFT calculation with meta-GGA SCAN was carried out for a PBEsol-optimized structure of KMo.

```
KMo
1.0
0.0000 3.4567 3.4567
3.4567 0.0000 3.4567
3.4567 3.4567 0.0000
K Mo
2 2
direct
0.1250 0.1250 0.1250
0.8750 0.8750 0.8750
0.3750 0.3750 0.3750
0.6250 0.6250 0.6250
```

DOS(E_F)	3.05	states/eV/cell

---

Run R
A plane-wave DFT calculation with meta-GGA SCAN was carried out for a PBEsol-optimized structure of KMo.

```
KMo
1.0
4.0445 -2.0596 0.0000
4.0445 2.0596 0.0000
-0.9660 0.0000 13.9216
K Mo
3 3
direct
0.0000 0.0000 0.0000
0.3268 0.3268 0.2826
0.6418 0.6418 0.5646
0.3207 0.3207 0.7823
0.6623 0.6623 0.8133
0.9792 0.9792 0.7512
```

DOS(E_F)	4.60	states/eV/cell

---

The most stable of them is run R.

---

Run P
A plane-wave DFT calculation with meta-GGA SCAN was carried out for a PBEsol-optimized structure of KNi2Mo.

```
KNi2Mo
1.0
2.6023 0.0000 0.0000
0.0000 4.0707 0.0000
-0.1426 0.0000 6.8965
K Ni Mo
1 2 1
direct
0.0000 0.0000 0.0000
0.4936 0.0000 0.5088
0.4935 0.5000 0.6963
0.9831 0.5000 0.3966
```

DOS(E_F)	5.10	states/eV/cell

---

Run Q
A plane-wave DFT calculation with meta-GGA SCAN was carried out for a PBEsol-optimized structure of KNi2Mo.

```
KNi2Mo
1.0
3.4269 -3.4321 0.0000
3.4269 3.4321 0.0000
0.0000 0.0000 2.5755
K Ni Mo
1 2 1
direct
0.0000 0.0000 0.0000
0.0000 0.5000 0.5000
0.5000 0.0000 0.5000
0.5000 0.5000 0.0000
```

DOS(E_F)	3.47	states/eV/cell

---

The most stable of them is run P.

---

Run P
A plane-wave DFT calculation with meta-GGA SCAN was carried out for a PBEsol-optimized structure of K2Mo2P2O11.

```
K2Mo2P2O11
1.0
9.3155 0.0000 0.0000
0.0000 8.9109 0.0000
0.0000 0.0000 10.9365
K Mo P O
8 8 8 44
direct
0.2029 0.0109 0.0850
0.2029 0.9891 0.5850
0.2971 0.4891 0.5850
0.2971 0.5109 0.0850
0.7029 0.4891 0.9150
0.7029 0.5109 0.4150
0.7971 0.0109 0.4150
0.7971 0.9891 0.9150
0.0775 0.2696 0.3456
0.0775 0.7304 0.8456
0.4225 0.2304 0.8456
0.4225 0.7696 0.3456
0.5775 0.2304 0.6544
0.5775 0.7696 0.1544
0.9225 0.2696 0.1544
0.9225 0.7304 0.6544
0.0714 0.3255 0.8729
0.0714 0.6745 0.3729
0.4286 0.1745 0.3729
0.4286 0.8255 0.8729
0.5714 0.1745 0.1271
0.5714 0.8255 0.6271
0.9286 0.3255 0.6271
0.9286 0.6745 0.1271
0.0000 0.2594 0.7500
0.0000 0.7406 0.2500
0.0485 0.3021 0.5329
0.0485 0.6979 0.0329
0.0795 0.0808 0.3628
0.0795 0.9192 0.8628
0.1094 0.4891 0.8544
0.1094 0.5109 0.3544
0.1274 0.3004 0.1753
0.1274 0.6996 0.6753
0.2020 0.2265 0.8977
0.2020 0.7735 0.3977
0.2980 0.2735 0.3977
0.2980 0.7265 0.8977
0.3726 0.1996 0.6753
0.3726 0.8004 0.1753
0.3906 0.0109 0.3544
0.3906 0.9891 0.8544
0.4205 0.4192 0.8628
0.4205 0.5808 0.3628
0.4515 0.1979 0.0329
0.4515 0.8021 0.5329
0.5000 0.2406 0.2500
0.5000 0.7594 0.7500
0.5485 0.1979 0.4671
0.5485 0.8021 0.9671
0.5795 0.4192 0.6372
0.5795 0.5808 0.1372
0.6094 0.0109 0.1456
0.6094 0.9891 0.6456
0.6274 0.1996 0.8247
0.6274 0.8004 0.3247
0.7020 0.2735 0.1023
0.7020 0.7265 0.6023
0.7980 0.2265 0.6023
0.7980 0.7735 0.1023
0.8726 0.3004 0.3247
0.8726 0.6996 0.8247
0.8906 0.4891 0.6456
0.8906 0.5109 0.1456
0.9205 0.0808 0.1372
0.9205 0.9192 0.6372
0.9515 0.3021 0.9671
0.9515 0.6979 0.4671
```

DOS(E_F)	0.00	states/eV/cell

---

Run Q
A plane-wave DFT calculation with meta-GGA SCAN was carried out for a PBEsol-optimized structure of K2Mo2P2O11.

```
K2Mo2P2O11
1.0
9.8338 0.0000 0.0000
0.0000 10.0378 0.0000
-1.3976 0.0000 9.8148
K Mo P O
8 8 8 44
direct
0.0011 0.0000 0.2490
0.2273 0.8208 0.9356
0.2292 0.6855 0.4665
0.4936 0.5753 0.2428
0.5064 0.0753 0.7572
0.7708 0.1855 0.5335
0.7727 0.3209 0.0644
0.9989 0.5000 0.7510
0.0698 0.1817 0.9007
0.0735 0.3218 0.3995
0.3463 0.0866 0.3887
0.3481 0.4113 0.8910
0.6519 0.9113 0.1090
0.6537 0.5866 0.6113
0.9265 0.8218 0.6005
0.9302 0.6817 0.0993
0.1266 0.0784 0.6094
0.1327 0.4251 0.1105
0.3908 0.1154 0.0663
0.3950 0.3779 0.5675
0.6050 0.8779 0.4325
0.6092 0.6154 0.9337
0.8673 0.9251 0.8895
0.8734 0.5784 0.3906
0.0319 0.9772 0.5225
0.0395 0.5269 0.0231
0.0628 0.2183 0.5783
0.0674 0.2856 0.0803
0.0780 0.7559 0.6768
0.0811 0.7481 0.1746
0.1277 0.0502 0.7635
0.1340 0.4537 0.2645
0.1912 0.3086 0.8541
0.1928 0.1927 0.3521
0.2363 0.0886 0.0272
0.2408 0.4064 0.5285
0.2764 0.0621 0.5812
0.2801 0.9366 0.3370
0.2832 0.4399 0.0825
0.2851 0.5604 0.8326
0.4294 0.1376 0.2217
0.4320 0.3537 0.7236
0.4410 0.2344 0.9872
0.4446 0.2550 0.4942
0.4646 0.9877 0.0220
0.4687 0.5051 0.5237
0.5313 0.0051 0.4763
0.5354 0.4877 0.9780
0.5554 0.7550 0.5058
0.5590 0.7344 0.0128
0.5680 0.8537 0.2764
0.5706 0.6376 0.7783
0.7149 0.0604 0.1674
0.7168 0.9399 0.9175
0.7199 0.4366 0.6630
0.7236 0.5621 0.4188
0.7592 0.9064 0.4715
0.7637 0.5886 0.9728
0.8072 0.6927 0.6479
0.8088 0.8086 0.1459
0.8660 0.9537 0.7355
0.8723 0.5502 0.2365
0.9189 0.2481 0.8254
0.9220 0.2559 0.3232
0.9326 0.7856 0.9197
0.9372 0.7183 0.4217
0.9605 0.0269 0.9769
0.9681 0.4772 0.4775
```

---

The most stable of them is run P.

---

Run P
A plane-wave DFT calculation with meta-GGA SCAN was carried out for a PBEsol-optimized structure of KMoPb.

```
KMoPb
1.0
0.0000 3.5133 3.5133
3.5133 0.0000 3.5133
3.5133 3.5133 0.0000
K Mo Pb
1 1 1
direct
0.0000 0.0000 0.0000
0.2500 0.2500 0.2500
0.5000 0.5000 0.5000
```

DOS(E_F)	0.83	states/eV/cell

---

Run Q
A plane-wave DFT calculation with meta-GGA SCAN was carried out for a PBEsol-optimized structure of KMoPb.

```
KMoPb
1.0
5.2650 0.0000 0.0000
-2.6325 4.5597 0.0000
0.0000 0.0000 2.9145
K Mo Pb
1 1 1
direct
0.0000 0.0000 0.0000
0.3333 0.6667 0.4939
0.6667 0.3333 0.5000
```

DOS(E_F)	2.96	states/eV/cell

---

The most stable of them is run P.

---

Run P
A plane-wave DFT calculation with meta-GGA SCAN was carried out for a PBEsol-optimized structure of K2MoPt.

```
K2MoPt
1.0
1.5275 -2.3265 0.0000
1.5275 2.3265 0.0000
0.0000 0.0000 11.4532
K Mo Pt
2 1 1
direct
0.0000 0.0000 0.2305
0.0000 0.0000 0.7695
0.5000 0.5000 0.5000
0.5000 0.5000 0.0000
```

DOS(E_F)	2.56	states/eV/cell

---

Run Q
A plane-wave DFT calculation with meta-GGA SCAN was carried out for a PBEsol-optimized structure of K2MoPt.

```
K2MoPt
1.0
-1.4136 2.2150 9.9616
1.4136 -2.2150 9.9616
1.4136 2.2150 -9.9616
K Mo Pt
2 1 1
direct
0.1436 0.1436 0.0000
0.8564 0.8564 0.0000
0.5000 0.0000 0.5000
0.0000 0.5000 0.5000
```

DOS(E_F)	2.72	states/eV/cell

---

The most stable of them is run Q.

---

Run P
A plane-wave DFT calculation with meta-GGA SCAN was carried out for a PBEsol-optimized structure of KRe2Mo.

```
KRe2Mo
1.0
1.3921 0.8037 10.5375
-1.3921 0.8037 10.5375
0.0000 -1.6074 10.5375
K Re Mo
1 2 1
direct
0.0000 0.0000 0.0000
0.2382 0.2382 0.2382
0.5047 0.5047 0.5047
0.7664 0.7664 0.7664
```

DOS(E_F)	2.91	states/eV/cell

---

Run Q
A plane-wave DFT calculation with meta-GGA SCAN was carried out for a PBEsol-optimized structure of KRe2Mo.

```
KRe2Mo
1.0
3.7202 0.0000 0.0000
0.0000 3.7202 0.0000
0.0000 0.0000 4.8435
K Re Mo
1 2 1
direct
0.0000 0.0000 0.0000
0.0000 0.5000 0.5000
0.5000 0.0000 0.5000
0.5000 0.5000 0.0000
```

DOS(E_F)	3.73	states/eV/cell

---

The most stable of them is run P.

---

Run P
A plane-wave DFT calculation with meta-GGA SCAN was carried out for a PBEsol-optimized structure of K2MoRu.

```
K2MoRu
1.0
10.3646 -1.6637 0.0000
10.3646 1.6637 0.0000
-0.5855 0.0000 3.5494
K Mo Ru
2 1 1
direct
0.1475 0.1475 0.1370
0.8525 0.8525 0.8630
0.0000 0.0000 0.5000
0.5000 0.5000 0.0000
```

DOS(E_F)	2.61	states/eV/cell

---

Run Q
A plane-wave DFT calculation with meta-GGA SCAN was carried out for a PBEsol-optimized structure of K2MoRu.

```
K2MoRu
1.0
0.0000 3.7116 3.7116
3.7116 0.0000 3.7116
3.7116 3.7116 0.0000
K Mo Ru
2 1 1
direct
0.2500 0.2500 0.2500
0.7500 0.7500 0.7500
0.0000 0.0000 0.0000
0.5000 0.5000 0.5000
```

DOS(E_F)	5.25	states/eV/cell

---

The most stable of them is run P.